Here is an optimized crystal structure of ErMg3Pt4 from Alexandria via LeMat-Bulk. Energies are from GGA-PBE.

Properties
Magnetization, μB/f.u.: 0.00
Energy of formation, kJ/mol of atoms: -93
Crystal system: orthorhombic
DFT total energy, Ha/atom: -0.1892
DOS(E_F), states/eV per atom: 0.19

Cell lengths 4.824, 6.017, 9.526 Å; angles 90.00, 90.00, 90.00 degrees
Fractional coordinates of all 16 atoms:
Mg1 0.543 0.500 0.750
Mg2 0.457 0.500 0.250
Mg3 0.566 0.000 0.750
Mg4 0.000 0.000 0.500
Mg5 0.434 0.000 0.250
Mg6 0.000 0.000 0.000
Er1 0.000 0.500 0.500
Er2 0.000 0.500 0.000
Pt1 0.932 0.762 0.250
Pt2 0.068 0.238 0.750
Pt3 0.932 0.238 0.250
Pt4 0.500 0.240 0.500
Pt5 0.500 0.760 0.000
Pt6 0.068 0.762 0.750
Pt7 0.500 0.760 0.500
Pt8 0.500 0.240 0.000


Here is an optimized crystal structure of Er12Mg3Pt5 from Alexandria via LeMat-Bulk. Energies are from GGA-PBE.

Properties
Magnetization, μB/f.u.: 0.00
Energy of formation, kJ/mol of atoms: -26
Crystal system: cubic
DFT total energy, Ha/atom: -0.1748
DOS(E_F), states/eV per atom: 1.32

Cell lengths 14.884, 14.884, 14.884 Å; angles 109.47, 109.47, 109.47 degrees
Fractional coordinates of all 80 atoms:
Pt1 0.375 0.125 0.750
Pt2 0.250 0.875 0.125
Pt3 0.125 0.750 0.375
Pt4 0.500 0.000 0.500
Pt5 0.500 0.500 0.000
Pt6 0.500 0.000 0.000
Pt7 0.125 0.375 0.250
Pt8 0.750 0.625 0.375
Pt9 0.250 0.375 0.625
Pt10 0.875 0.250 0.625
Pt11 0.000 0.500 0.000
Pt12 0.625 0.750 0.875
Pt13 0.375 0.250 0.125
Pt14 0.500 0.500 0.500
Pt15 0.000 0.500 0.500
Pt16 0.625 0.875 0.250
Pt17 0.750 0.125 0.875
Pt18 0.875 0.625 0.750
Pt19 0.000 0.000 0.000
Pt20 0.000 0.000 0.500
Er1 0.826 0.910 0.292
Er2 0.326 0.534 0.416
Er3 0.118 0.708 0.534
Er4 0.590 0.708 0.674
Er5 0.466 0.792 0.882
Er6 0.966 0.584 0.174
Er7 0.208 0.534 0.618
Er8 0.174 0.090 0.708
Er9 0.174 0.084 0.966
Er10 0.534 0.208 0.118
Er11 0.410 0.292 0.326
Er12 0.966 0.382 0.292
Er13 0.882 0.292 0.466
Er14 0.326 0.792 0.410
Er15 0.534 0.326 0.916
Er16 0.118 0.410 0.084
Er17 0.410 0.118 0.584
Er18 0.916 0.090 0.882
Er19 0.792 0.326 0.910
Er20 0.618 0.584 0.910
Er21 0.090 0.174 0.208
Er22 0.618 0.034 0.208
Er23 0.090 0.916 0.382
Er24 0.084 0.910 0.118
Er25 0.416 0.034 0.326
Er26 0.292 0.410 0.826
Er27 0.208 0.674 0.090
Er28 0.590 0.882 0.416
Er29 0.674 0.208 0.590
Er30 0.034 0.618 0.708
Er31 0.916 0.826 0.534
Er32 0.792 0.466 0.382
Er33 0.910 0.084 0.618
Er34 0.882 0.590 0.916
Er35 0.826 0.916 0.034
Er36 0.382 0.416 0.090
Er37 0.416 0.382 0.590
Er38 0.034 0.416 0.826
Er39 0.084 0.174 0.466
Er40 0.674 0.466 0.584
Er41 0.292 0.882 0.966
Er42 0.584 0.966 0.674
Er43 0.466 0.674 0.084
Er44 0.584 0.618 0.410
Er45 0.910 0.826 0.792
Er46 0.708 0.118 0.034
Er47 0.708 0.590 0.174
Er48 0.382 0.966 0.792
Mg1 0.125 0.250 0.875
Mg2 0.625 0.375 0.750
Mg3 0.750 0.875 0.625
Mg4 0.125 0.875 0.750
Mg5 0.750 0.375 0.125
Mg6 0.875 0.125 0.250
Mg7 0.375 0.625 0.250
Mg8 0.250 0.125 0.375
Mg9 0.375 0.750 0.625
Mg10 0.875 0.750 0.125
Mg11 0.625 0.250 0.375
Mg12 0.250 0.625 0.875


Here is an optimized crystal structure of Er4Mg3Pt from Alexandria via LeMat-Bulk. Energies are from GGA-PBE.

Properties
Magnetization, μB/f.u.: 0.00
Energy of formation, kJ/mol of atoms: -36
Crystal system: tetragonal
DFT total energy, Ha/atom: -0.1475
DOS(E_F), states/eV per atom: 1.04

Cell lengths 3.638, 3.638, 15.051 Å; angles 90.00, 90.00, 90.00 degrees
Fractional coordinates of all 8 atoms:
Er1 0.000 0.000 0.631
Er2 0.000 0.000 0.895
Er3 0.000 0.000 0.105
Er4 0.000 0.000 0.369
Mg1 0.500 0.500 0.760
Mg2 0.500 0.500 0.500
Mg3 0.500 0.500 0.240
Pt1 0.500 0.500 0.000


What did the third record say?
Here is an optimized crystal structure of Er4Mg3Pt from Alexandria via LeMat-Bulk. Energies are from GGA-PBE.

Properties
Magnetization, μB/f.u.: 0.00
Energy of formation, kJ/mol of atoms: -36
Crystal system: tetragonal
DFT total energy, Ha/atom: -0.1475
DOS(E_F), states/eV per atom: 1.04

Cell lengths 3.638, 3.638, 15.051 Å; angles 90.00, 90.00, 90.00 degrees
Fractional coordinates of all 8 atoms:
Er1 0.000 0.000 0.631
Er2 0.000 0.000 0.895
Er3 0.000 0.000 0.105
Er4 0.000 0.000 0.369
Mg1 0.500 0.500 0.760
Mg2 0.500 0.500 0.500
Mg3 0.500 0.500 0.240
Pt1 0.500 0.500 0.000


Q: DOS(E_F) of number 2 (Er12Mg3Pt5)?
A: 1.32 states/eV per atom


Q: Look up the energy of formation of the first one.
A: -93 kJ/mol of atoms